First-principles (PBE) data for crystalline Sm2Dy3Ag2 at its relaxed geometry, as listed in Alexandria.

Output
As for the total energy: -4.24 eV/atom. The calculation puts the energy above the most stable polymorph in this dataset at 0.007 eV/atom. For the formation energy, the calculation gives -103.7 meV/atom.

Cell and atoms, written as CIF:
```
data_Sm2Dy3Ag2
_cell_length_a 9.341
_cell_length_b 5.396
_cell_length_c 8.378
_cell_angle_alpha 90.00
_cell_angle_beta 111.87
_cell_angle_gamma 90.00
_symmetry_space_group_name_H-M 'C 1 2/m 1'
_symmetry_Int_Tables_number 12
loop_
_symmetry_equiv_pos_as_xyz
'x,y,z'
'-x,-y,-z'
'-x,y,-z'
'x,-y,z'
'x+1/2,y+1/2,z'
'-x+1/2,-y+1/2,-z'
'-x+1/2,y+1/2,-z'
'x+1/2,-y+1/2,z'
loop_
_atom_site_label
_atom_site_fract_x
_atom_site_fract_y
_atom_site_fract_z
_atom_site_occupancy
Sm1 0.076 0.000 0.226 1
Dy1 0.000 0.500 0.500 1
Dy2 0.162 0.500 0.985 1
Ag1 0.212 0.000 0.637 1
```